No. 1
Si2PNO | GGA-PBE | optimized geometry

crystal system	tetragonal
formation energy (no corrections)	4.25	eV per formula unit
total DFT energy (no corrections)	-0.18589	Ha/atom

Structure (extended XYZ):
```
5
Lattice="4.474 0.000 0.000 0.000 3.323 0.000 0.000 0.000 4.474" Properties=species:S:1:pos:R:3 pbc="T T T"
P 0.000 0.000 0.000
Si 0.000 0.000 2.237
Si 2.237 0.000 0.000
O 0.000 1.662 0.000
N 2.237 1.662 2.237
```

=====

No. 2
SiPNO2 | GGA-PBE | optimized geometry

crystal system	tetragonal
formation energy (no corrections)	4.84	eV per formula unit
total DFT energy (no corrections)	-0.17810	Ha/atom

Structure (extended XYZ):
```
5
Lattice="3.707 0.000 0.000 0.000 3.707 0.000 0.000 0.000 3.700" Properties=species:S:1:pos:R:3 pbc="T T T"
P 0.000 0.000 1.850
Si 1.853 1.853 1.850
O 0.000 1.853 0.000
O 1.853 0.000 0.000
N 0.000 0.000 0.000
```

=====

No. 3
SiPNO2 | GGA-PBE | optimized geometry

crystal system	tetragonal
formation energy (no corrections)	-1.19	eV per formula unit
total DFT energy (no corrections)	-0.22242	Ha/atom

Structure (extended XYZ):
```
5
Lattice="-1.109 2.112 2.534 -2.939 -1.847 0.254 1.576 -2.165 2.494" Properties=species:S:1:pos:R:3 pbc="T T T"
P 0.000 0.000 0.000
Si -1.236 -0.950 2.641
O -1.469 -0.924 0.127
O -0.554 1.056 1.267
N 0.788 -1.082 1.247
```

=====

No. 4
SiPN2O | GGA-PBE | optimized geometry

crystal system	tetragonal
formation energy (no corrections)	1.77	eV per formula unit
total DFT energy (no corrections)	-0.22540	Ha/atom

Structure (extended XYZ):
```
5
Lattice="3.527 0.000 0.000 0.000 3.527 0.000 0.000 0.000 3.388" Properties=species:S:1:pos:R:3 pbc="T T T"
P 0.000 0.000 0.000
Si 1.763 1.763 1.694
O 0.000 0.000 1.694
N 0.000 1.763 0.000
N 1.763 0.000 0.000
```

=====

No. 5
SiPNO2 | GGA-PBE | optimized geometry

crystal system	tetragonal
formation energy (no corrections)	-1.34	eV per formula unit
total DFT energy (no corrections)	-0.22352	Ha/atom

Structure (extended XYZ):
```
5
Lattice="-0.908 2.799 -1.271 -1.175 -1.541 -2.554 -5.313 -0.481 2.735" Properties=species:S:1:pos:R:3 pbc="T T T"
P -2.657 -0.240 1.368
Si 0.000 0.000 0.000
O -0.588 -0.770 -1.277
O -0.454 1.400 -0.636
N -3.698 0.389 -0.545
```

=====

No. 6
SiPNO2 | GGA-PBE | optimized geometry

crystal system	tetragonal
formation energy (no corrections)	-2.52	eV per formula unit
total DFT energy (no corrections)	-0.23222	Ha/atom

Structure (extended XYZ):
```
5
Lattice="-1.869 2.637 -1.141 1.100 -0.601 -3.191 -3.001 -2.381 -0.586" Properties=species:S:1:pos:R:3 pbc="T T T"
P -1.885 -0.172 -2.459
Si 0.000 0.000 0.000
O 0.550 -0.301 -1.595
O -0.935 1.319 -0.571
N -1.500 -1.190 -0.293
```